Record 1
VASP calculation (PBE) on a geometry-optimized HfCuBi2S5 structure.

Results
Magnetization in μB/cell: 0.000
Raw total energy in eV per atom: -5.362
V in Å³/atom: 22.31
Energy relative to the elements, uncorrected in eV/f.u.: -5.81

Unit cell a=8.520 b=8.520 c=13.059 alpha=90.00 beta=90.00 gamma=154.94
Atoms (fractional coordinates):
Hf: 0.191 0.809 0.500
Hf: 0.809 0.191 0.000
Cu: 0.434 0.566 0.922
Cu: 0.566 0.434 0.422
Bi: 0.110 0.890 0.128
Bi: 0.121 0.879 0.792
Bi: 0.879 0.121 0.292
Bi: 0.890 0.110 0.628
S: 0.045 0.955 0.525
S: 0.279 0.721 0.137
S: 0.302 0.698 0.868
S: 0.354 0.646 0.478
S: 0.495 0.505 0.270
S: 0.505 0.495 0.770
S: 0.646 0.354 0.978
S: 0.698 0.302 0.368
S: 0.721 0.279 0.637
S: 0.955 0.045 0.025



Record 2
VASP calculation (PBE) on a geometry-optimized HfCuBiS4 structure.

Results
Magnetization in μB/cell: 0.000
Raw total energy in eV per atom: -5.745
V in Å³/atom: 22.43
Energy relative to the elements, uncorrected in eV/f.u.: -5.78

Unit cell a=7.659 b=7.659 c=7.659 alpha=121.28 beta=120.16 gamma=88.76
Atoms (fractional coordinates):
Hf: 0.500 0.000 0.000
Hf: 0.500 0.500 0.500
Cu: 0.128 0.378 0.750
Cu: 0.872 0.622 0.250
Bi: 0.000 0.000 0.000
Bi: 0.500 0.000 0.500
S: 0.259 0.745 0.515
S: 0.268 0.286 0.518
S: 0.268 0.750 0.982
S: 0.270 0.255 0.015
S: 0.730 0.745 0.985
S: 0.732 0.250 0.018
S: 0.732 0.714 0.482
S: 0.741 0.255 0.485



Record 3
VASP calculation (PBE) on a geometry-optimized HfCuBi2Se5 structure.

Results
Magnetization in μB/cell: 0.000
Raw total energy in eV per atom: -4.924
V in Å³/atom: 25.56
Energy relative to the elements, uncorrected in eV/f.u.: -5.08

Unit cell a=8.997 b=8.997 c=13.542 alpha=90.00 beta=90.00 gamma=155.18
Atoms (fractional coordinates):
Hf: 0.193 0.807 0.500
Hf: 0.807 0.193 0.000
Cu: 0.426 0.574 0.934
Cu: 0.574 0.426 0.434
Bi: 0.112 0.888 0.788
Bi: 0.117 0.883 0.130
Bi: 0.883 0.117 0.630
Bi: 0.888 0.112 0.288
Se: 0.049 0.951 0.537
Se: 0.279 0.721 0.142
Se: 0.298 0.702 0.866
Se: 0.356 0.644 0.480
Se: 0.497 0.503 0.778
Se: 0.503 0.497 0.278
Se: 0.644 0.356 0.980
Se: 0.702 0.298 0.366
Se: 0.721 0.279 0.642
Se: 0.951 0.049 0.037



Record 4
VASP calculation (PBE) on a geometry-optimized Cu2Hg2Bi structure.

Results
Magnetization in μB/cell: 0.000
Raw total energy in eV per atom: -2.270
V in Å³/atom: 20.96
Excess energy over the best structure of this formula in the dataset in meV per atom: 82
Formation energy in eV per atom: 0.265

Unit cell a=6.930 b=6.930 c=6.930 alpha=145.78 beta=145.78 gamma=49.18
Atoms (fractional coordinates):
Cu: 0.095 0.095 0.000
Cu: 0.905 0.905 0.000
Hg: 0.250 0.750 0.500
Hg: 0.750 0.250 0.500
Bi: 0.500 0.500 0.000



Record 5
VASP calculation (PBE) on a geometry-optimized Cu2Hg2Bi structure.

Results
Magnetization in μB/cell: 0.000
Raw total energy in eV per atom: -2.314
V in Å³/atom: 20.37
Excess energy over the best structure of this formula in the dataset in meV per atom: 38
Formation energy in eV per atom: 0.221

Unit cell a=7.596 b=7.596 c=3.531 alpha=90.00 beta=90.00 gamma=90.00
Atoms (fractional coordinates):
Cu: 0.123 0.377 0.000
Cu: 0.377 0.877 0.000
Cu: 0.623 0.123 0.000
Cu: 0.877 0.623 0.000
Hg: 0.165 0.665 0.500
Hg: 0.335 0.165 0.500
Hg: 0.665 0.835 0.500
Hg: 0.835 0.335 0.500
Bi: 0.000 0.000 0.000
Bi: 0.500 0.500 0.000



Record 6
VASP calculation (PBE) on a geometry-optimized Cu3HgBi structure.

Results
Magnetization in μB/cell: 0.000
Raw total energy in eV per atom: -2.642
V in Å³/atom: 26.11
Excess energy over the best structure of this formula in the dataset in meV per atom: 0
Formation energy in eV per atom: 0.652

Unit cell a=5.073 b=5.073 c=5.073 alpha=90.00 beta=90.00 gamma=90.00
Atoms (fractional coordinates):
Cu: 0.000 0.000 0.500
Cu: 0.000 0.500 0.000
Cu: 0.500 0.000 0.000
Hg: 0.500 0.500 0.500
Bi: 0.000 0.000 0.000



Record 7
VASP calculation (PBE) on a geometry-optimized Cu2Hg2Bi structure.

Results
Magnetization in μB/cell: 0.000
Raw total energy in eV per atom: -2.352
V in Å³/atom: 21.70
Excess energy over the best structure of this formula in the dataset in meV per atom: 0
Formation energy in eV per atom: 0.183

Unit cell a=9.180 b=9.180 c=9.180 alpha=158.00 beta=158.00 gamma=31.31
Atoms (fractional coordinates):
Cu: 0.250 0.750 0.500
Cu: 0.750 0.250 0.500
Hg: 0.130 0.130 0.000
Hg: 0.870 0.870 0.000
Bi: 0.500 0.500 0.000



Record 8
VASP calculation (PBE) on a geometry-optimized CuHgBi2 structure.

Results
Magnetization in μB/cell: 0.000
Raw total energy in eV per atom: -2.915
V in Å³/atom: 28.18
Formation energy in eV per atom: 0.125

Unit cell a=7.762 b=7.762 c=7.762 alpha=31.40 beta=31.40 gamma=31.40
Atoms (fractional coordinates):
Cu: 0.000 0.000 0.000
Hg: 0.165 0.165 0.165
Bi: 0.392 0.392 0.392
Bi: 0.608 0.608 0.608



> magnetization of number 8 (CuHgBi2)?

0.000 μB/cell